A plane-wave DFT calculation with PBE-GGA was carried out for a geometry-optimized NbSiNi structure.

Geometry as POSCAR:
```
NbSiNi
1.0
-0.615 -4.942 -0.680
2.302 -0.483 4.442
-4.414 1.808 -1.584
Nb Ni Si
2 2 2
Direct
0.603 0.603 0.000
0.196 0.696 0.500
0.624 0.318 0.306
0.012 0.318 0.694
0.208 0.992 0.216
0.775 0.992 0.784
```

Summary:
Uncorrected energy ... -46.08 eV/cell


A plane-wave DFT calculation with PBE-GGA was carried out for a geometry-optimized Ni2PdPt2 structure.

Geometry as POSCAR:
```
Ni2PdPt2
1.0
-5.285 2.242 2.929
-5.376 2.929 -2.014
4.229 -4.806 -0.745
Ni Pd Pt
2 1 2
Direct
0.750 0.250 0.500
0.250 0.750 0.500
0.000 0.000 0.000
0.394 0.394 0.000
0.606 0.606 0.000
```

Summary:
Calculated formation energy ... 0.2460 eV per atom


A plane-wave DFT calculation with PBE-GGA was carried out for a geometry-optimized LuTlO3 structure.

Geometry as POSCAR:
```
LuTlO3
1.0
-3.395 -4.212 0.636
3.230 -3.152 -3.630
4.735 -2.811 6.653
Lu O Tl
4 12 4
Direct
0.972 0.068 0.250
0.528 0.568 0.250
0.472 0.432 0.750
0.028 0.932 0.750
0.689 0.314 0.093
0.811 0.814 0.093
0.174 0.402 0.250
0.326 0.902 0.250
0.689 0.314 0.407
0.811 0.814 0.407
0.189 0.186 0.593
0.311 0.686 0.593
0.674 0.098 0.750
0.826 0.598 0.750
0.189 0.186 0.907
0.311 0.686 0.907
0.500 0.000 0.000
0.000 0.500 0.000
0.500 0.000 0.500
0.000 0.500 0.500
```

Summary:
Uncorrected energy ... -127.82 eV/cell


A plane-wave DFT calculation with PBE-GGA was carried out for a geometry-optimized SnGeMo4N2 structure.

Geometry as POSCAR:
```
SnGeMo4N2
1.0
-0.754 3.099 -0.694
-2.373 -2.177 0.533
0.187 2.751 12.081
Ge Mo N Sn
1 4 2 1
Direct
0.667 0.333 0.000
0.000 0.000 0.152
0.667 0.333 0.315
0.667 0.333 0.685
0.000 0.000 0.848
0.333 0.667 0.246
0.333 0.667 0.754
0.000 0.000 0.500
```

Summary:
Uncorrected energy ... -69.01 eV/cell


A plane-wave DFT calculation with PBE-GGA was carried out for a geometry-optimized KLiOs structure.

Geometry as POSCAR:
```
KLiOs
1.0
4.560 -0.238 1.227
2.276 3.899 1.406
1.258 0.499 4.531
K Li Os
1 1 1
Direct
0.250 0.250 0.250
0.000 0.000 0.000
0.750 0.750 0.750
```

Summary:
Energy relative to the lowest polymorph listed for this composition ... 0 meV per atom


A plane-wave DFT calculation with PBE-GGA was carried out for a geometry-optimized Ho2P3N7 structure.

Geometry as POSCAR:
```
Ho2P3N7
1.0
7.346 0.000 0.000
0.000 7.346 0.000
0.000 0.000 4.981
Ho N P
4 14 6
Direct
0.339 0.161 0.489
0.661 0.839 0.489
0.839 0.339 0.511
0.161 0.661 0.511
0.000 0.500 0.174
0.083 0.163 0.191
0.337 0.417 0.191
0.663 0.583 0.191
0.917 0.837 0.191
0.642 0.142 0.284
0.358 0.858 0.284
0.142 0.358 0.716
0.858 0.642 0.716
0.837 0.083 0.809
0.583 0.337 0.809
0.417 0.663 0.809
0.163 0.917 0.809
0.500 0.000 0.826
0.000 0.000 0.000
0.500 0.500 0.000
0.142 0.358 0.032
0.858 0.642 0.032
0.642 0.142 0.968
0.358 0.858 0.968
```

Summary:
Uncorrected energy ... -194.05 eV/cell


A plane-wave DFT calculation with PBE-GGA was carried out for a geometry-optimized Ho3Er3Bi2Os structure.

Geometry as POSCAR:
```
Ho3Er3Bi2Os
1.0
-3.254 -1.899 -7.349
5.752 -4.884 3.356
-3.022 -2.242 1.917
Bi Er Ho Os
2 3 3 1
Direct
0.667 0.333 0.500
0.333 0.667 0.500
0.386 0.000 0.000
0.000 0.386 0.000
0.614 0.614 0.000
0.767 0.000 0.500
0.233 0.233 0.500
0.000 0.767 0.500
0.000 0.000 0.000
```

Summary:
Energy relative to the lowest polymorph listed for this composition ... 20 meV per atom


A plane-wave DFT calculation with PBE-GGA was carried out for a geometry-optimized Na2ZrAlS4 structure.

Geometry as POSCAR:
```
Na2ZrAlS4
1.0
-3.154 3.154 5.137
3.154 -3.154 5.137
3.154 3.154 -5.137
Al Na S Zr
1 2 4 1
Direct
0.000 0.000 0.000
0.500 0.500 0.000
0.750 0.250 0.500
0.921 0.353 0.039
0.117 0.079 0.432
0.647 0.686 0.568
0.314 0.883 0.961
0.250 0.750 0.500
```

Summary:
Uncorrected energy ... -40.64 eV/cell